DFT (PBE) results for a geometry-optimized Ca3MgAu structure.

volume = 37.36 Å³ per atom
DOS at the Fermi energy = 0.793 states/eV per atom
distance to the lowest polymorph of the same formula = 0.0 meV per atom
ΔH_f (0 K) = -224 meV/atom

POSCAR file:
```
Ca3MgAu
1.0
5.717 0.000 0.000
0.000 5.717 0.000
0.000 0.000 5.717
Ca Mg Au
3 1 1
direct
0.000 0.000 0.500
0.000 0.500 0.000
0.500 0.000 0.000
0.500 0.500 0.500
0.000 0.000 0.000
```